Entry 1:
{
  "formula": "Rb2InSiO4",
  "functional": "PBE",
  "state": "relaxed",
  "lattice_angstrom": [[-3.472, 4.012, 2.576], [-1.668, -2.190, -5.217], [0.406, -5.337, 2.478]],
  "species": ["O", "O", "O", "O", "In", "Si", "Rb", "Rb"],
  "frac_coords": [[0.314, 0.813, 0.730], [0.686, 0.416, 0.499], [0.083, 0.270, 0.584], [0.917, 0.501, 0.187], [0.500, 0.250, 0.750], [0.000, 0.500, 0.500], [0.000, 0.000, 0.000], [0.500, 0.750, 0.250]],
  "total_energy_ev_per_atom": -5.629,
  "total_magnetization_mub_per_cell": 0.048,
  "dos_ef_per_ev_atom": 0.424
}

Entry 2:
{
  "formula": "ZrTi2HRu",
  "functional": "PBE",
  "state": "relaxed",
  "lattice_angstrom": [[3.862, 0.000, 0.000], [0.000, 3.862, 0.000], [0.000, 0.000, 4.777]],
  "species": ["Ru", "Ti", "Ti", "H", "Zr"],
  "frac_coords": [[0.500, 0.500, 0.500], [0.500, 0.000, 0.000], [0.000, 0.500, 0.000], [0.000, 0.000, 0.000], [0.000, 0.000, 0.500]],
  "total_energy_ev_per_atom": -7.653,
  "total_magnetization_mub_per_cell": 0.000,
  "dos_ef_per_ev_atom": 1.199
}